Cr2NiAg PBE optimized geometry; energy of formation = 0.581 eV/atom; spin magnetization = 7.46 μB per formula unit
1.0
4.306 0.000 0.000
0.000 4.306 0.000
0.000 0.000 3.199
Cr Ag Ni
2 1 1
Cartesian
0.000 0.000 0.000 Cr
2.153 2.153 0.000 Cr
0.000 2.153 1.599 Ag
2.153 0.000 1.599 Ni

K6Zn PBE optimized geometry; energy of formation = 0.422 eV/atom; spin magnetization = 0.00 μB per formula unit
1.0
-9.761 2.490 -1.694
4.620 -1.916 -8.907
0.415 -8.321 5.911
K Zn
6 1
Cartesian
-5.958 -2.772 -0.542 K
0.181 -6.576 -0.444 K
-4.907 -1.171 -4.246 K
1.233 -4.975 -4.148 K
-3.414 -5.475 1.360 K
-1.312 -2.273 -6.049 K
0.000 0.000 0.000 Zn